i.
Compound: MgScAlO4
Source: Alexandria via LeMat-Bulk
Functional: PBE
Structure: relaxed

Unit cell a=3.2705 b=3.2705 c=25.0821 alpha=90.00 beta=90.00 gamma=120.00
Closest atoms and distances in Å follow each position.
Space group R3m (No. 160, hexagonal axes)
Unique sites:
Mg  0.0000  0.0000  0.0000 [3 per cell]  4 O 1.97-2.00
Sc  0.0000  0.0000  0.2126 [3 per cell]  6 O 2.15
Al  0.0000  0.0000  0.4304 [3 per cell]  5 O 1.87-1.89
O  0.0000  0.0000  0.0964 [3 per cell]  3 Al 1.89
O  0.0000  0.0000  0.3553 [3 per cell]  1 Al 1.88, 3 Mg 1.97
O  0.0000  0.0000  0.5048 [3 per cell]  1 Al 1.87
O  0.0000  0.0000  0.9203 [3 per cell]  1 Mg 2.00, 3 Sc 2.15

ii.
Compound: MgScAlO4
Source: Alexandria via LeMat-Bulk
Functional: PBE
Structure: relaxed

Unit cell a=5.9184 b=6.0572 c=8.4318 alpha=90.00 beta=90.00 gamma=90.00
Closest atoms and distances in Å follow each position.
Space group Imma (No. 74)
Unique sites:
Mg  0.2500  0.2500  0.2500 [4 per cell]  6 O 2.11-2.12
Sc  0.0000  0.0000  0.0000 [4 per cell]  6 O 2.11-2.12
Al  0.0000  0.2500  0.6287 [4 per cell]  4 O 1.83-1.84
O  0.0000  0.0005  0.7502 [8 per cell]  1 Al 1.83
O  0.2496  0.2500  0.9999 [8 per cell]  1 Al 1.84

Tell me which of them is the least stable. Sure, it is ii.

i.
Compound: Mg2Al2SiO9
Source: Alexandria via LeMat-Bulk
Functional: PBE
Structure: relaxed

Unit cell a=5.3635 b=14.1571 c=5.4360 alpha=90.00 beta=118.95 gamma=90.00
Closest atoms and distances in Å follow each position.
Space group P2_1 (No. 4)
Unique sites:
Mg  0.0057  0.0000  0.0325 [2 per cell]  6 O 2.02-2.21
Mg  0.3208  0.1087  0.6754 [2 per cell]  4 O 1.97-2.07
Al  0.3172  0.2977  0.9895 [2 per cell]  4 O 1.73-1.80
Al  0.3547  0.4954  0.6929 [2 per cell]  6 O 1.85-1.93
Si  0.3494  0.7957  0.3364 [2 per cell]  4 O 1.61-1.67
O  0.0247  0.4530  0.3552 [2 per cell]  1 Al 1.93, 1 Mg 2.14
O  0.0302  0.7567  0.1360 [2 per cell]  1 Si 1.62, 1 Al 1.74
O  0.0402  0.5699  0.6504 [2 per cell]  1 Al 1.91, 2 Mg 1.97-2.10
O  0.2923  0.4209  0.9366 [2 per cell]  2 Al 1.76-1.85
O  0.3494  0.0658  0.0345 [2 per cell]  1 Al 1.85, 2 Mg 1.98-2.06
O  0.3503  0.5498  0.3690 [2 per cell]  1 Al 1.91, 1 Mg 2.07
O  0.3605  0.9114  0.2933 [2 per cell]  1 Si 1.66
O  0.4375  0.2438  0.7667 [2 per cell]  1 Si 1.67, 1 Al 1.80
O  0.4629  0.7691  0.6615 [2 per cell]  1 Si 1.61, 1 Al 1.73

ii.
Compound: Mg2Al2SiO9
Source: Alexandria via LeMat-Bulk
Functional: PBE
Structure: relaxed

Unit cell a=5.4301 b=5.4629 c=13.7019 alpha=82.95 beta=86.85 gamma=61.11
Closest atoms and distances in Å follow each position.
Space group P1 (No. 1)
Unique sites:
Mg  0.0000  0.0000  0.0000 [1 per cell]  5 O 2.06-2.12
Mg  0.0256  0.0491  0.4749 [1 per cell]  5 O 2.03-2.27
Mg  0.3573  0.3925  0.4855 [1 per cell]  6 O 2.04-2.20
Mg  0.7055  0.6565  0.8849 [1 per cell]  4 O 1.97-2.09
Al  0.3528  0.6645  0.6931 [1 per cell]  4 O 1.74-1.79
Al  0.3644  0.2621  0.0013 [1 per cell]  6 O 1.87-1.96
Al  0.6350  0.2801  0.2095 [1 per cell]  4 O 1.72-1.80
Al  0.6659  0.7405  0.4908 [1 per cell]  6 O 1.86-1.99
Si  0.2934  0.9520  0.2100 [1 per cell]  4 O 1.61-1.65
Si  0.6895  0.9949  0.6935 [1 per cell]  4 O 1.61-1.67
O  0.0092  0.8482  0.7340 [1 per cell]  1 Si 1.62, 1 Al 1.74
O  0.0297  0.5994  0.0390 [1 per cell]  1 Al 1.96, 1 Mg 2.12, 1 O 2.20
O  0.0619  0.3156  0.9235 [1 per cell]  1 Al 1.89, 2 Mg 1.97-2.06
O  0.2827  0.0209  0.0891 [1 per cell]  1 Si 1.65
O  0.3632  0.7194  0.5625 [1 per cell]  2 Al 1.78-1.91
O  0.3762  0.5958  0.9469 [1 per cell]  1 Al 1.91, 1 Mg 2.09
O  0.3816  0.0597  0.4226 [1 per cell]  1 Al 1.86, 2 Mg 2.05
O  0.4476  0.6175  0.2408 [1 per cell]  1 Si 1.61, 1 Al 1.72
O  0.4649  0.0874  0.2568 [1 per cell]  1 Si 1.63, 1 Al 1.76
O  0.5015  0.3047  0.7280 [1 per cell]  1 Si 1.61, 1 Al 1.74
O  0.5628  0.7860  0.7455 [1 per cell]  1 Si 1.67, 1 Al 1.79
O  0.6397  0.2545  0.0799 [1 per cell]  2 Al 1.80-1.87
O  0.6619  0.0047  0.9304 [1 per cell]  1 Al 1.87, 1 Mg 1.98
O  0.6747  0.0144  0.5716 [1 per cell]  1 Si 1.66
O  0.7042  0.4341  0.4299 [1 per cell]  1 Al 1.88, 2 Mg 2.03-2.10
O  0.9762  0.4121  0.5533 [1 per cell]  1 Al 1.91
O  0.9775  0.0965  0.2546 [1 per cell]  1 Si 1.62, 1 Al 1.74
O  0.9886  0.7196  0.4293 [1 per cell]  1 Al 1.86, 2 Mg 2.04-2.08

Tell me which of them is the least stable. Sure, it is ii.